Here is a relaxed Pm6CuNi2I3 crystal from Alexandria via LeMat-Bulk. Energies are from GGA-PBE.

abc: 7.191 7.191 8.325
angles: 98.29 98.29 119.95
Fractional positions:
1 Ni 0.333 0.667 0.000
2 Ni 0.667 0.333 0.000
3 Pm 0.938 0.592 0.814
4 Pm 0.285 0.285 0.816
5 Pm 0.408 0.062 0.186
6 Pm 0.062 0.408 0.186
7 Pm 0.715 0.715 0.184
8 Pm 0.592 0.938 0.814
9 I 0.835 0.165 0.500
10 I 0.500 0.500 0.500
11 I 0.165 0.835 0.500
12 Cu 0.000 0.000 0.000

Summary:
The density of states at the Fermi level is 0.782 states/eV/atom. The value obtained for the uncorrected formation energy is -0.61 eV/atom. Its magnetic moment is 0.0 μB/f.u. The space-group type is C2/m, No. 12. Its crystal system is monoclinic.